## NpTcGe2Rh (PBE)

Data for NpTcGe2Rh after structural relaxation.

Results
As for the total energy: -8.321 eV per atom. The density of states at the Fermi level comes out at 13.4 states/eV per cell. Its space group is I-4m2, No. 119. The calculation puts the formation energy from the elements at -0.343 eV per atom.

abc: 5.8677 5.8677 5.8677
angles: 137.60 137.60 61.52
Atoms (fractional coordinates):
Np (0.0000, 0.0000, 0.0000)
Tc (0.7500, 0.2500, 0.5000)
Ge (0.3741, 0.3741, 0.0000)
Ge (0.6259, 0.6259, 0.0000)
Rh (0.2500, 0.7500, 0.5000)

***

## NpTcGeRh (PBE)

Data for NpTcGeRh after structural relaxation.

Results
As for the total energy: -9.037 eV per atom. The density of states at the Fermi level comes out at 5.5 states/eV per cell. Its space group is F-43m, No. 216. The calculation puts the formation energy from the elements at -0.219 eV per atom.

abc: 4.5745 4.5745 4.5745
angles: 60.00 60.00 60.00
Atoms (fractional coordinates):
Np (0.0000, 0.0000, 0.0000)
Tc (0.7500, 0.7500, 0.7500)
Ge (0.5000, 0.5000, 0.5000)
Rh (0.2500, 0.2500, 0.2500)

***

## Th2NpGe7Rh2 (PBE)

Data for Th2NpGe7Rh2 after structural relaxation.

Results
As for the total energy: -6.758 eV per atom. The density of states at the Fermi level comes out at 11.6 states/eV per cell. Its space group is C2/m, No. 12. The calculation puts the formation energy from the elements at -0.524 eV per atom.

abc: 4.1952 4.1952 13.9044
angles: 95.28 95.28 90.30
Atoms (fractional coordinates):
Th (0.1073, 0.1073, 0.3421)
Th (0.8927, 0.8927, 0.6579)
Np (0.0000, 0.0000, 0.0000)
Ge (0.0428, 0.5526, 0.1627)
Ge (0.3310, 0.3310, 0.5470)
Ge (0.4474, 0.9572, 0.8373)
Ge (0.5000, 0.5000, 0.0000)
Ge (0.5526, 0.0428, 0.1627)
Ge (0.6690, 0.6690, 0.4530)
Ge (0.9572, 0.4474, 0.8373)
Rh (0.4252, 0.4252, 0.7231)
Rh (0.5748, 0.5748, 0.2769)

***

## NpUGeRh (PBE)

Data for NpUGeRh after structural relaxation.

Results
As for the total energy: -9.228 eV per atom. The density of states at the Fermi level comes out at 6.6 states/eV per cell. Its space group is F-43m, No. 216. The calculation puts the formation energy from the elements at -0.179 eV per atom.

abc: 4.7750 4.7750 4.7750
angles: 60.00 60.00 60.00
Atoms (fractional coordinates):
Np (0.0000, 0.0000, 0.0000)
U (0.2500, 0.2500, 0.2500)
Ge (0.7500, 0.7500, 0.7500)
Rh (0.5000, 0.5000, 0.5000)

***

## Np2ZnGe3Rh4 (PBE)

Data for Np2ZnGe3Rh4 after structural relaxation.

Results
As for the total energy: -7.518 eV per atom. The density of states at the Fermi level comes out at 25.1 states/eV per cell. Its space group is P-4m2, No. 115. The calculation puts the formation energy from the elements at -0.477 eV per atom.

abc: 4.0794 4.0794 10.7440
angles: 90.00 90.00 90.00
Atoms (fractional coordinates):
Np (0.0000, 0.5000, 0.2449)
Np (0.5000, 0.0000, 0.7551)
Zn (0.5000, 0.5000, 0.0000)
Ge (0.0000, 0.0000, 0.0000)
Ge (0.0000, 0.5000, 0.6283)
Ge (0.5000, 0.0000, 0.3717)
Rh (0.0000, 0.0000, 0.5000)
Rh (0.0000, 0.5000, 0.8552)
Rh (0.5000, 0.0000, 0.1448)
Rh (0.5000, 0.5000, 0.5000)

***

## Np2Ge3Ru (PBE)

Data for Np2Ge3Ru after structural relaxation.

Results
As for the total energy: -8.382 eV per atom. The density of states at the Fermi level comes out at 10.7 states/eV per cell. Its space group is Cm, No. 8. The calculation puts the formation energy from the elements at -0.214 eV per atom.

abc: 5.5568 5.5568 5.9489
angles: 120.77 120.77 46.98
Atoms (fractional coordinates):
Np (0.0000, 0.0000, 0.0000)
Np (0.0704, 0.0704, 0.6363)
Ge (0.3498, 0.3498, 0.5773)
Ge (0.6767, 0.6767, 0.4390)
Ge (0.7329, 0.7329, 0.0577)
Ru (0.3807, 0.3807, 0.1764)